Below is a relaxed Y2Ga4IrAu3 crystal, with properties calculated at the GGA-PBE level.

a = 4.1683 Å, b = 4.1683 Å, c = 11.1884 Å
α = 90.00°, β = 90.00°, γ = 90.00°
Last column: nearest neighbours and their distance in Å.
Space group P-4m2 (No. 115)
One atom of each set of equivalent atoms:
Y 0.0000 0.5000 0.2408 x2  8 Ga 3.19-3.57, 6 Au 3.21-3.41, 2 Ir 3.41
Ga 0.0000 0.0000 0.5000 x1  4 Au 2.64, 4 Ga 2.95
Ga 0.0000 0.5000 0.8680 x2  3 Au 2.50-2.55, 2 Ir 2.55
Ga 0.5000 0.5000 0.5000 x1  4 Au 2.64, 4 Ga 2.95
Ir 0.5000 0.5000 0.0000 x1  4 Ga 2.55
Au 0.0000 0.0000 0.0000 x1  4 Ga 2.55
Au 0.0000 0.5000 0.6447 x2  5 Ga 2.50-2.64

The calculation puts the total energy at -4.99 eV per atom. The calculation puts the formation enthalpy at 0 K at -0.614 eV per atom. For the density of states at the Fermi level, the calculation gives 3.5 states/eV/cell.